Compound: RbMnCl3O2
Source: Alexandria
Functional: PBE with a Hubbard U
Structure: optimized geometry

Output
distance to the lowest polymorph of the same formula: 0 meV per atom
DOS at the Fermi energy: 0.28 states/eV per cell

Unit cell a=9.2985 b=6.7966 c=11.9029 alpha=90.00 beta=90.00 gamma=90.00
Sites, in units of the cell vectors:
Rb  0.2500  0.0000  0.1059
Rb  0.2500  0.0000  0.6059
Rb  0.7500  0.0000  0.3941
Rb  0.7500  0.0000  0.8941
Mn  0.0000  0.4436  0.2500
Mn  0.0000  0.5564  0.7500
Mn  0.5000  0.4436  0.7500
Mn  0.5000  0.5564  0.2500
Cl  0.0798  0.2232  0.3820
Cl  0.0798  0.7768  0.8820
Cl  0.2500  0.5000  0.1544
Cl  0.2500  0.5000  0.6544
Cl  0.4202  0.2232  0.8820
Cl  0.4202  0.7768  0.3820
Cl  0.5798  0.2232  0.6180
Cl  0.5798  0.7768  0.1180
Cl  0.7500  0.5000  0.3456
Cl  0.7500  0.5000  0.8456
Cl  0.9202  0.2232  0.1180
Cl  0.9202  0.7768  0.6180
O  0.0293  0.2685  0.7999
O  0.0293  0.7315  0.2999
O  0.4707  0.2685  0.2999
O  0.4707  0.7315  0.7999
O  0.5293  0.2685  0.2001
O  0.5293  0.7315  0.7001
O  0.9707  0.2685  0.7001
O  0.9707  0.7315  0.2001